Record 1
A plane-wave DFT calculation with GGA-PBE was carried out for a relaxed Pm6Si2GeCl3 crystal.

Cell lengths 4.2329, 8.4234, 9.4267 Å; angles 102.63, 102.97, 90.00 degrees
Positions (direct):
1 Si 0.8332 0.6657 0.6664
2 Si 0.1668 0.3343 0.3336
3 Ge 0.5000 0.0000 0.0000
4 Pm 0.6629 0.1011 0.3259
5 Pm 0.6723 0.5701 0.3447
6 Pm 0.9933 0.7606 0.9866
7 Pm 0.0067 0.2394 0.0134
8 Pm 0.3277 0.4299 0.6553
9 Pm 0.3371 0.8989 0.6741
10 Cl 0.1661 0.8337 0.3323
11 Cl 0.8339 0.1663 0.6677
12 Cl 0.5000 0.5000 0.0000

Computed properties:
DFT total energy (eV per atom): -5.33
SG: C2/m (12)

---

Record 2
A plane-wave DFT calculation with GGA-PBE was carried out for a relaxed Pm8Ge3Te4Cl crystal.

Cell lengths 8.6578, 8.7994, 8.6594 Å; angles 119.48, 119.99, 90.00 degrees
Positions (direct):
1 Pm 0.7524 0.2748 0.5048
2 Pm 0.7414 0.7241 0.4827
3 Pm 0.2476 0.7252 0.4952
4 Pm 0.2586 0.2759 0.5173
5 Pm 0.2700 0.2752 0.0226
6 Pm 0.7526 0.2752 0.0226
7 Pm 0.2474 0.7248 0.9774
8 Pm 0.7300 0.7248 0.9774
9 Cl 0.0000 0.5000 0.0000
10 Ge 0.5000 0.5000 0.5000
11 Ge 0.0000 0.5000 0.5000
12 Ge 0.5000 0.5000 0.0000
13 Te 0.0000 0.0000 0.0000
14 Te 0.5000 0.0000 0.5000
15 Te 0.0000 0.0000 0.5000
16 Te 0.5000 0.0000 0.0000

Computed properties:
DFT total energy (eV per atom): -5.45
SG: R-3m (166)

---

Record 3
A plane-wave DFT calculation with GGA-PBE was carried out for a relaxed Pm4GeTe2Cl crystal.

Cell lengths 4.3112, 7.6594, 7.3876 Å; angles 70.88, 90.00, 90.00 degrees
Positions (direct):
1 Pm 0.0000 0.2758 0.2531
2 Pm 0.5000 0.2789 0.7313
3 Pm 0.0000 0.7242 0.7469
4 Pm 0.5000 0.7211 0.2687
5 Cl 0.5000 0.5000 0.0000
6 Te 0.0000 0.0000 0.0000
7 Te 0.5000 0.0000 0.5000
8 Ge 0.0000 0.5000 0.5000

Computed properties:
DFT total energy (eV per atom): -5.30
SG: P2/m (10)

---

Record 4
A plane-wave DFT calculation with GGA-PBE was carried out for a relaxed Pm3GeTeCl crystal.

Cell lengths 4.2819, 8.8718, 9.8778 Å; angles 94.79, 90.00, 90.00 degrees
Last column: magnetic moment on the atom in μB.
Positions (direct):
1 Pm 0.7500 0.4033 0.1521  0.04
2 Pm 0.2500 0.6742 0.4369  0.24
3 Pm 0.2500 0.1314 0.8589  0.00
4 Pm 0.2500 0.5967 0.8479  0.04
5 Pm 0.7500 0.3258 0.5631  0.24
6 Pm 0.7500 0.8686 0.1411  0.00
7 Cl 0.2500 0.1282 0.5697  0.00
8 Cl 0.7500 0.8718 0.4303  0.00
9 Ge 0.2500 0.6378 0.1477  0.01
10 Ge 0.7500 0.3622 0.8523  0.01
11 Te 0.7500 0.8605 0.8161  0.00
12 Te 0.2500 0.1395 0.1839  0.00

Computed properties:
DFT total energy (eV per atom): -5.18
SG: P2_1/m (11)

---

Number 1: total moment 0.0 Bohr magnetons per cell, N(E_F) 5.2 states/eV/cell. Number 2: total moment 0.0 Bohr magnetons per cell, N(E_F) 5.0 states/eV/cell. Number 3: total moment 0.0 Bohr magnetons per cell, N(E_F) 4.2 states/eV/cell. Number 4: total moment 1.5 Bohr magnetons per cell, N(E_F) 7.1 states/eV/cell.